Density functional theory data (SCAN) for NaFeOs3 at its PBEsol-relaxed geometry.

extended XYZ file:
```
5
Lattice="-1.284 0.344 -4.127 -3.948 -1.405 1.111 -1.249 4.087 0.730" Properties=species:S:1:pos:R:3 pbc="T T T"
Os -0.624 2.044 0.365
Os -1.974 -0.702 0.556
Fe -3.240 1.514 -1.143
Na 0.000 0.000 0.000
Os -0.642 0.172 -2.063
```

Results
size of the total moment = 2.65 μB/f.u.
calculated volume = 16.3 A^3/atom
E_form = 3.19 eV per atom
mass density = 13.23 g/cm³
DOS(E_F) = 6.7 states/eV/f.u.